Record 1
SrZrRu4 | PBE | relaxed

The space group is F-43m (No. 216) and the conventional cell measures 7.543, 7.543 and 7.543 Å, with angles of 90.00, 90.00 and 90.00 degrees. The distinct sites, in fractional coordinates, are Sr at (0.000, 0.000, 0.000), Zr at (0.250, 0.250, 0.750) and Ru at (0.124, 0.124, 0.376).

As for the energy relative to the elements: 0.50 eV per formula unit. The value obtained for the density of states at the Fermi level is 29.64 states/eV/cell.



Record 2
SrZr2Ru2 | PBE | relaxed

The space group is P4/mbm (No. 127) and the conventional cell measures 8.084, 8.084 and 3.249 Å, with angles of 90.00, 90.00 and 90.00 degrees. The distinct sites, in fractional coordinates, are Sr at (0.000, 0.000, 0.000), Zr at (0.140, 0.360, 0.500) and Ru at (0.142, 0.642, 0.000).

As for the energy relative to the elements: -0.66 eV per formula unit. The value obtained for the density of states at the Fermi level is 5.56 states/eV/cell.



Record 3
Sr4ZrRu | PBE | relaxed

The space group is F-43m (No. 216) and the conventional cell measures 9.461, 9.461 and 9.461 Å, with angles of 90.00, 90.00 and 90.00 degrees. The distinct sites, in fractional coordinates, are Sr at (0.125, 0.125, 0.125), Zr at (0.250, 0.250, 0.750) and Ru at (0.000, 0.000, 0.500).

As for the energy relative to the elements: 7.71 eV per formula unit. The value obtained for the density of states at the Fermi level is 40.96 states/eV/cell.



Record 4
SrZrRu | PBE | relaxed

The space group is P3m1 (No. 156) and the conventional cell measures 3.7835, 3.7835 and 6.8143 Å, with angles of 90.00, 90.00 and 120.00 degrees. The distinct sites, in fractional coordinates, are Sr at (0.0000, 0.0000, 0.0000), Zr at (0.3333, 0.6667, 0.4854) and Ru at (0.6667, 0.3333, 0.6834).

The energy above the most stable polymorph in this dataset comes out at 0.2164 eV per atom. As for the energy relative to the elements: 0.62 eV per formula unit. The value obtained for the density of states at the Fermi level is 1.60 states/eV/cell.



Record 5
SrZr3Ru | PBE | relaxed

The space group is Pm-3m (No. 221) and the conventional cell measures 4.968, 4.968 and 4.968 Å, with angles of 90.00, 90.00 and 90.00 degrees. The distinct sites, in fractional coordinates, are Sr at (0.000, 0.000, 0.000), Zr at (0.000, 0.000, 0.500) and Ru at (0.500, 0.500, 0.500).

The energy above the most stable polymorph in this dataset comes out at 1.9802 eV per atom. As for the energy relative to the elements: 10.96 eV per formula unit. The value obtained for the density of states at the Fermi level is 7.57 states/eV/cell.



Record 6
SrZrRu | PBE | relaxed

The space group is I4mm (No. 107) and the conventional cell measures 3.395, 3.395 and 13.304 Å, with angles of 90.00, 90.00 and 90.00 degrees. The distinct sites, in fractional coordinates, are Sr at (0.000, 0.000, 0.000), Zr at (0.000, 0.000, 0.261) and Ru at (0.000, 0.000, 0.668).

The energy above the most stable polymorph in this dataset comes out at 0.0000 eV per atom. As for the energy relative to the elements: -0.03 eV per formula unit. The value obtained for the density of states at the Fermi level is 2.27 states/eV/cell.